No. 1
Computed, not measured: Pr8NiP3Br4 after structural relaxation at the PBE level of DFT.

Unit cell a=8.833 b=8.833 c=8.833 alpha=56.74 beta=56.74 gamma=56.74
Sites, in units of the cell vectors:
Pr (0.235, 0.235, 0.235)
Pr (0.243, 0.731, 0.731)
Pr (0.269, 0.269, 0.757)
Pr (0.269, 0.757, 0.269)
Pr (0.731, 0.243, 0.731)
Pr (0.731, 0.731, 0.243)
Pr (0.757, 0.269, 0.269)
Pr (0.765, 0.765, 0.765)
Ni (0.500, 0.500, 0.500)
P (0.000, 0.000, 0.500)
P (0.000, 0.500, 0.000)
P (0.500, 0.000, 0.000)
Br (0.000, 0.000, 0.000)
Br (0.000, 0.500, 0.500)
Br (0.500, 0.000, 0.500)
Br (0.500, 0.500, 0.000)

Computed properties:
Formation energy (no corrections), kcal/mol of atoms: -30.061



No. 2
Computed, not measured: Pm2SmDyN4 after structural relaxation at the PBE level of DFT.

Unit cell a=6.188 b=3.575 c=6.189 alpha=90.00 beta=109.42 gamma=90.00
Sites, in units of the cell vectors:
Pm (0.000, 0.000, 0.000)
Pm (0.500, 0.500, 0.000)
Sm (0.000, 0.500, 0.500)
Dy (0.500, 0.000, 0.500)
N (0.252, 0.000, 0.746)
N (0.255, 0.500, 0.256)
N (0.745, 0.500, 0.744)
N (0.748, 0.000, 0.254)

Computed properties:
Formation energy (no corrections), kcal/mol of atoms: -34.703



What did the first record say?
Computed, not measured: Pr8NiP3Br4 after structural relaxation at the PBE level of DFT.

Unit cell a=8.833 b=8.833 c=8.833 alpha=56.74 beta=56.74 gamma=56.74
Sites, in units of the cell vectors:
Pr (0.235, 0.235, 0.235)
Pr (0.243, 0.731, 0.731)
Pr (0.269, 0.269, 0.757)
Pr (0.269, 0.757, 0.269)
Pr (0.731, 0.243, 0.731)
Pr (0.731, 0.731, 0.243)
Pr (0.757, 0.269, 0.269)
Pr (0.765, 0.765, 0.765)
Ni (0.500, 0.500, 0.500)
P (0.000, 0.000, 0.500)
P (0.000, 0.500, 0.000)
P (0.500, 0.000, 0.000)
Br (0.000, 0.000, 0.000)
Br (0.000, 0.500, 0.500)
Br (0.500, 0.000, 0.500)
Br (0.500, 0.500, 0.000)

Computed properties:
Formation energy (no corrections), kcal/mol of atoms: -30.061



Which value of formation energy (no corrections) does entry 2 give?
-34.703 kcal/mol of atoms



formation energy (no corrections) of number 1 (Pr8NiP3Br4)?
-30.061 kcal/mol of atoms



What did the second record say?
Computed, not measured: Pm2SmDyN4 after structural relaxation at the PBE level of DFT.

Unit cell a=6.188 b=3.575 c=6.189 alpha=90.00 beta=109.42 gamma=90.00
Sites, in units of the cell vectors:
Pm (0.000, 0.000, 0.000)
Pm (0.500, 0.500, 0.000)
Sm (0.000, 0.500, 0.500)
Dy (0.500, 0.000, 0.500)
N (0.252, 0.000, 0.746)
N (0.255, 0.500, 0.256)
N (0.745, 0.500, 0.744)
N (0.748, 0.000, 0.254)

Computed properties:
Formation energy (no corrections), kcal/mol of atoms: -34.703